K2ThTe3 after structural relaxation. Source: Alexandria, functional PBE.

E	-53.10	eV for the cell shown
crystal system	monoclinic
SG	C2/m, No. 12
formation energy without anion corrections	-120.8	kJ/mol of atoms
M_tot	0.00	μB/f.u.
theoretical density	4.79	g/cm³
V	40.1	A^3/atom

Unit cell a=8.231 b=8.231 c=8.656 alpha=99.26 beta=99.26 gamma=120.03
Positions (direct):
Te 0.407 0.107 0.217
Te 0.774 0.741 0.217
Te 0.626 0.960 0.785
Te 0.893 0.593 0.783
Te 0.259 0.226 0.783
Te 0.040 0.374 0.215
Th 0.001 0.999 0.000
Th 0.666 0.334 0.000
K 0.333 0.667 0.000
K 0.177 0.823 0.500
K 0.833 0.167 0.500
K 0.490 0.510 0.500